A plane-wave DFT calculation with PBE-GGA was carried out for LaFe5H2 after structural relaxation.

Unit cell a=5.1426 b=8.9756 c=4.1565 alpha=90.00 beta=90.00 gamma=90.00
Last column: nearest neighbours and their distance in Å.
Element x y z (fractional)
1 La 0.0000 0.0000 0.0000  4 H 2.39
2 La 0.5000 0.5000 0.0000  4 H 2.39
3 Fe 0.0000 0.3360 0.0000  6 Fe 2.55-2.56, 2 H 2.77
4 Fe 0.0000 0.5000 0.5000  8 Fe 2.55-2.59, 4 H 2.83
5 Fe 0.0000 0.6640 0.0000  6 Fe 2.55-2.56, 2 H 2.77
6 Fe 0.2500 0.2500 0.5000  2 H 1.67
7 Fe 0.2500 0.7500 0.5000  2 H 1.67
8 Fe 0.5000 0.0000 0.5000  8 Fe 2.55-2.59, 4 H 2.83
9 Fe 0.5000 0.1640 0.0000  6 Fe 2.55-2.56, 2 H 2.77
10 Fe 0.5000 0.8360 0.0000  6 Fe 2.55-2.56, 2 H 2.77
11 Fe 0.7500 0.2500 0.5000  2 H 1.67
12 Fe 0.7500 0.7500 0.5000  2 H 1.67
13 H 0.0000 0.1317 0.5000  2 Fe 1.67
14 H 0.0000 0.8683 0.5000  2 Fe 1.67
15 H 0.5000 0.3683 0.5000  2 Fe 1.67
16 H 0.5000 0.6317 0.5000  2 Fe 1.67

Values from the calculation:
The value obtained for the total energy is -6.794 eV per atom. The total magnetic moment comes out at 22.53 Bohr magnetons per cell. As for the space group: Cmmm, No. 65.